## AlCuTcPt (PBE)

Data for a relaxed structure of AlCuTcPt.

Lattice parameters (Å, degrees): 4.350 4.350 4.350 60.00 60.00 60.00
Element x y z (fractional)
Cu  0.750  0.750  0.750
Al  0.000  0.000  0.000
Pt  0.250  0.250  0.250
Tc  0.500  0.500  0.500

Calculated values
Total magnetic moment   0.5229 μB/atom
Offset from the most stable computed form   0 meV/atom
Space group   F-43m, No. 216
Electronic total energy   -0.447 Ry per atom